Arrangement 1

Compound: Tl2ReH
Source: Alexandria
Functional: GGA-PBE
Structure: relaxed

a b c (Å): 5.664 5.664 5.664
angles (deg): 107.72 107.72 113.04
Atoms (fractional coordinates):
Tl1 0.054 0.625 0.929
Tl2 0.375 0.304 0.429
Tl3 0.696 0.125 0.071
Tl4 0.875 0.946 0.571
Re1 0.250 0.750 0.500
Re2 0.500 0.500 0.000
H1 0.000 0.000 0.000
H2 0.750 0.250 0.500

- Fermi-level density of states: 2.474 states/eV/f.u.
- Space group: I-42d
- M_tot: 2.96 Bohr magnetons per cell

Arrangement 2

Compound: Tl2ReH
Source: Alexandria
Functional: GGA-PBE
Structure: relaxed

a b c (Å): 4.776 4.776 4.776
angles (deg): 60.00 60.00 60.00
Atoms (fractional coordinates):
Tl1 0.250 0.250 0.250
Tl2 0.750 0.750 0.750
Re1 0.000 0.000 0.000
H1 0.500 0.500 0.500

- Fermi-level density of states: 3.419 states/eV/f.u.
- Space group: Fm-3m
- M_tot: 2.72 Bohr magnetons per cell

We find arrangement 1 to be the most stable, with the next structure 19.6 kJ/mol of atoms higher.

Arrangement 1

Compound: Tl3ReH
Source: Alexandria
Functional: GGA-PBE
Structure: relaxed

a b c (Å): 5.345 5.345 5.345
angles (deg): 90.00 90.00 90.00
Atoms (fractional coordinates):
Tl1 0.000 0.000 0.500
Tl2 0.000 0.500 0.000
Tl3 0.500 0.000 0.000
Re1 0.000 0.000 0.000
H1 0.500 0.500 0.500

- Fermi-level density of states: 2.780 states/eV/f.u.
- Space group: Pm-3m
- M_tot: 1.37 Bohr magnetons per cell

Arrangement 2

Compound: Tl3ReH
Source: Alexandria
Functional: GGA-PBE
Structure: relaxed

a b c (Å): 4.671 4.671 4.671
angles (deg): 90.00 90.00 90.00
Atoms (fractional coordinates):
Tl1 0.000 0.000 0.500
Tl2 0.000 0.500 0.000
Tl3 0.500 0.000 0.000
Re1 0.500 0.500 0.500
H1 0.000 0.000 0.000

- Fermi-level density of states: 2.827 states/eV/f.u.
- Space group: Pm-3m
- M_tot: 2.73 Bohr magnetons per cell

We find arrangement 1 to be the most stable, with the next structure 12.8 kJ/mol of atoms higher.

Arrangement 1

Compound: TlReH3
Source: Alexandria
Functional: GGA-PBE
Structure: relaxed

a b c (Å): 3.694 3.694 3.694
angles (deg): 90.00 90.00 90.00
Atoms (fractional coordinates):
Tl1 0.000 0.000 0.000
Re1 0.500 0.500 0.500
H1 0.000 0.500 0.500
H2 0.500 0.000 0.500
H3 0.500 0.500 0.000

- Fermi-level density of states: 2.672 states/eV/f.u.
- Space group: Pm-3m
- M_tot: 0.66 Bohr magnetons per cell

Arrangement 2

Compound: TlReH3
Source: Alexandria
Functional: GGA-PBE
Structure: relaxed

a b c (Å): 3.791 3.791 3.791
angles (deg): 90.00 90.00 90.00
Atoms (fractional coordinates):
Tl1 0.000 0.000 0.000
Re1 0.500 0.500 0.500
H1 0.000 0.000 0.500
H2 0.000 0.500 0.000
H3 0.500 0.000 0.000

- Fermi-level density of states: 5.330 states/eV/f.u.
- Space group: Pm-3m
- M_tot: 0.00 Bohr magnetons per cell

We find arrangement 1 to be the most stable, with the next structure 123.1 kJ/mol of atoms higher.

Arrangement 1

Compound: UReH
Source: Alexandria
Functional: GGA-PBE
Structure: relaxed

a b c (Å): 5.059 5.059 5.059
angles (deg): 145.78 145.78 49.17
Atoms (fractional coordinates):
U1 0.000 0.000 0.000
Re1 0.280 0.280 0.000
H1 0.602 0.602 0.000

- Fermi-level density of states: 2.781 states/eV/f.u.
- Space group: I4mm
- M_tot: 0.00 Bohr magnetons per cell

Arrangement 2

Compound: UReH
Source: Alexandria
Functional: GGA-PBE
Structure: relaxed

a b c (Å): 2.856 8.052 4.820
angles (deg): 90.00 126.33 90.00
Atoms (fractional coordinates):
U1 0.000 0.139 0.000
U2 0.000 0.861 0.500
Re1 0.448 0.440 0.991
Re2 0.448 0.560 0.491
H1 0.001 0.139 0.500
H2 0.001 0.861 0.000

- Fermi-level density of states: 4.422 states/eV/f.u.
- Space group: Pc
- M_tot: 0.01 Bohr magnetons per cell

We find arrangement 2 to be the most stable, with the next structure 22.4 kJ/mol of atoms higher.

Arrangement 1

Compound: V2ReH2
Source: Alexandria
Functional: GGA-PBE
Structure: relaxed

a b c (Å): 4.215 4.215 4.215
angles (deg): 119.88 119.88 90.21
Atoms (fractional coordinates):
V1 0.250 0.750 0.500
V2 0.750 0.250 0.500
Re1 0.000 0.000 0.000
H1 0.303 0.303 0.000
H2 0.697 0.697 0.000

- Fermi-level density of states: 4.620 states/eV/f.u.
- Space group: I4/mmm
- M_tot: 0.69 Bohr magnetons per cell

Arrangement 2

Compound: V2ReH2
Source: Alexandria
Functional: GGA-PBE
Structure: relaxed

a b c (Å): 5.753 5.753 2.939
angles (deg): 90.00 90.00 90.00
Atoms (fractional coordinates):
V1 0.163 0.337 0.000
V2 0.337 0.837 0.000
V3 0.663 0.163 0.000
V4 0.837 0.663 0.000
Re1 0.000 0.000 0.500
Re2 0.500 0.500 0.500
H1 0.169 0.669 0.500
H2 0.331 0.169 0.500
H3 0.669 0.831 0.500
H4 0.831 0.331 0.500

- Fermi-level density of states: 5.005 states/eV/f.u.
- Space group: P4/mbm
- M_tot: 0.00 Bohr magnetons per cell

We find arrangement 1 to be the most stable, with the next structure 6.5 kJ/mol of atoms higher.

Arrangement 1

Compound: VReH3
Source: Alexandria
Functional: GGA-PBE
Structure: relaxed

a b c (Å): 3.464 3.464 3.464
angles (deg): 90.00 90.00 90.00
Atoms (fractional coordinates):
V1 0.000 0.000 0.000
Re1 0.500 0.500 0.500
H1 0.000 0.500 0.500
H2 0.500 0.000 0.500
H3 0.500 0.500 0.000

- Fermi-level density of states: 2.795 states/eV/f.u.
- Space group: Pm-3m
- M_tot: 3.02 Bohr magnetons per cell

Arrangement 2

Compound: VReH3
Source: Alexandria
Functional: GGA-PBE
Structure: relaxed

a b c (Å): 3.307 3.307 3.307
angles (deg): 90.00 90.00 90.00
Atoms (fractional coordinates):
V1 0.000 0.000 0.000
Re1 0.500 0.500 0.500
H1 0.000 0.000 0.500
H2 0.000 0.500 0.000
H3 0.500 0.000 0.000

- Fermi-level density of states: 3.001 states/eV/f.u.
- Space group: Pm-3m
- M_tot: 0.00 Bohr magnetons per cell

We find arrangement 1 to be the most stable, with the next structure 10.5 kJ/mol of atoms higher.

Arrangement 1

Compound: ReHW3
Source: Alexandria
Functional: GGA-PBE
Structure: relaxed

a b c (Å): 4.040 4.040 4.040
angles (deg): 90.00 90.00 90.00
Atoms (fractional coordinates):
Re1 0.000 0.000 0.000
H1 0.500 0.500 0.500
W1 0.000 0.500 0.500
W2 0.500 0.000 0.500
W3 0.500 0.500 0.000

- Fermi-level density of states: 4.120 states/eV/f.u.
- Space group: Pm-3m
- M_tot: 0.00 Bohr magnetons per cell

Arrangement 2

Compound: ReHW3
Source: Alexandria
Functional: GGA-PBE
Structure: relaxed

a b c (Å): 4.774 4.774 4.774
angles (deg): 90.00 90.00 90.00
Atoms (fractional coordinates):
Re1 0.000 0.000 0.000
H1 0.500 0.500 0.500
W1 0.000 0.000 0.500
W2 0.000 0.500 0.000
W3 0.500 0.000 0.000

- Fermi-level density of states: 6.981 states/eV/f.u.
- Space group: Pm-3m
- M_tot: 0.00 Bohr magnetons per cell

We find arrangement 1 to be the most stable, with the next structure 236.9 kJ/mol of atoms higher.

Arrangement 1

Compound: YRe2H
Source: Alexandria
Functional: GGA-PBE
Structure: relaxed

a b c (Å): 4.482 4.482 4.482
angles (deg): 60.00 60.00 60.00
Atoms (fractional coordinates):
Y1 0.000 0.000 0.000
Re1 0.250 0.250 0.250
Re2 0.750 0.750 0.750
H1 0.500 0.500 0.500

- Fermi-level density of states: 6.000 states/eV/f.u.
- Space group: Fm-3m
- M_tot: 1.50 Bohr magnetons per cell

Arrangement 2

Compound: YRe2H
Source: Alexandria
Functional: GGA-PBE
Structure: relaxed

a b c (Å): 5.607 5.607 5.607
angles (deg): 119.90 119.90 90.18
Atoms (fractional coordinates):
Y1 0.375 0.625 0.750
Y2 0.625 0.375 0.250
Re1 0.000 0.000 0.000
Re2 0.000 0.000 0.500
Re3 0.000 0.500 0.000
Re4 0.500 0.000 0.500
H1 0.125 0.875 0.250
H2 0.875 0.125 0.750

- Fermi-level density of states: 4.801 states/eV/f.u.
- Space group: I4_1/amd
- M_tot: 0.00 Bohr magnetons per cell

We find arrangement 2 to be the most stable, with the next structure 152.8 kJ/mol of atoms higher.

Arrangement 1

Compound: YReH2
Source: Alexandria
Functional: GGA-PBE
Structure: relaxed

a b c (Å): 6.018 6.018 6.018
angles (deg): 137.80 137.80 61.20
Atoms (fractional coordinates):
Y1 0.000 0.000 0.000
Y2 0.750 0.250 0.500
Re1 0.250 0.750 0.500
Re2 0.500 0.500 0.000
H1 0.214 0.625 0.089
H2 0.375 0.464 0.589
H3 0.536 0.125 0.911
H4 0.875 0.786 0.411

- Fermi-level density of states: 1.073 states/eV/f.u.
- Space group: I-42d
- M_tot: 0.00 Bohr magnetons per cell

Arrangement 2

Compound: YReH2
Source: Alexandria
Functional: GGA-PBE
Structure: relaxed

a b c (Å): 4.081 4.081 4.081
angles (deg): 60.00 60.00 60.00
Atoms (fractional coordinates):
Y1 0.000 0.000 0.000
Re1 0.500 0.500 0.500
H1 0.250 0.250 0.250
H2 0.750 0.750 0.750

- Fermi-level density of states: 2.841 states/eV/f.u.
- Space group: Fm-3m
- M_tot: 0.10 Bohr magnetons per cell

We find arrangement 1 to be the most stable, with the next structure 56.1 kJ/mol of atoms higher.

Arrangement 1

Compound: Y2ReH
Source: Alexandria
Functional: GGA-PBE
Structure: relaxed

a b c (Å): 4.780 4.780 4.780
angles (deg): 60.00 60.00 60.00
Atoms (fractional coordinates):
Y1 0.250 0.250 0.250
Y2 0.750 0.750 0.750
Re1 0.000 0.000 0.000
H1 0.500 0.500 0.500

- Fermi-level density of states: 0.814 states/eV/f.u.
- Space group: Fm-3m
- M_tot: 0.00 Bohr magnetons per cell

Arrangement 2

Compound: Y2ReH
Source: Alexandria
Functional: GGA-PBE
Structure: relaxed

a b c (Å): 8.923 8.923 8.923
angles (deg): 19.82 19.82 19.82
Atoms (fractional coordinates):
Y1 0.106 0.106 0.106
Y2 0.894 0.894 0.894
Re1 0.000 0.000 0.000
H1 0.500 0.500 0.500

- Fermi-level density of states: 4.783 states/eV/f.u.
- Space group: R-3m
- M_tot: 0.00 Bohr magnetons per cell

We find arrangement 1 to be the most stable, with the next structure 19.5 kJ/mol of atoms higher.

Arrangement 1

Compound: Zn2ReH
Source: Alexandria
Functional: GGA-PBE
Structure: relaxed

a b c (Å): 4.258 4.258 4.258
angles (deg): 60.00 60.00 60.00
Atoms (fractional coordinates):
Zn1 0.250 0.250 0.250
Zn2 0.750 0.750 0.750
Re1 0.000 0.000 0.000
H1 0.500 0.500 0.500

- Fermi-level density of states: 1.683 states/eV/f.u.
- Space group: Fm-3m
- M_tot: 2.01 Bohr magnetons per cell

Arrangement 2

Compound: Zn2ReH
Source: Alexandria
Functional: GGA-PBE
Structure: relaxed

a b c (Å): 5.172 5.172 5.172
angles (deg): 99.81 99.81 131.23
Atoms (fractional coordinates):
Zn1 0.043 0.625 0.918
Zn2 0.375 0.293 0.418
Zn3 0.707 0.125 0.082
Zn4 0.875 0.957 0.582
Re1 0.250 0.750 0.500
Re2 0.500 0.500 0.000
H1 0.000 0.000 0.000
H2 0.750 0.250 0.500

- Fermi-level density of states: 2.837 states/eV/f.u.
- Space group: I-42d
- M_tot: 0.00 Bohr magnetons per cell

We find arrangement 2 to be the most stable, with the next structure 55.4 kJ/mol of atoms higher.

Arrangement 1

Compound: ZnReH2
Source: Alexandria
Functional: GGA-PBE
Structure: relaxed

a b c (Å): 5.065 5.065 5.065
angles (deg): 130.32 130.32 72.89
Atoms (fractional coordinates):
Zn1 0.000 0.000 0.000
Zn2 0.750 0.250 0.500
Re1 0.250 0.750 0.500
Re2 0.500 0.500 0.000
H1 0.138 0.625 0.013
H2 0.375 0.388 0.513
H3 0.612 0.125 0.987
H4 0.875 0.862 0.487

- Fermi-level density of states: 1.936 states/eV/f.u.
- Space group: I-42d
- M_tot: 0.00 Bohr magnetons per cell

Arrangement 2

Compound: ZnReH2
Source: Alexandria
Functional: GGA-PBE
Structure: relaxed

a b c (Å): 3.681 3.681 3.681
angles (deg): 60.00 60.00 60.00
Atoms (fractional coordinates):
Zn1 0.000 0.000 0.000
Re1 0.500 0.500 0.500
H1 0.250 0.250 0.250
H2 0.750 0.750 0.750

- Fermi-level density of states: 2.016 states/eV/f.u.
- Space group: Fm-3m
- M_tot: 0.84 Bohr magnetons per cell

We find arrangement 1 to be the most stable, with the next structure 48.1 kJ/mol of atoms higher.

Arrangement 1

Compound: ZnReH3
Source: Alexandria
Functional: GGA-PBE
Structure: relaxed

a b c (Å): 3.361 3.361 3.361
angles (deg): 90.00 90.00 90.00
Atoms (fractional coordinates):
Zn1 0.000 0.000 0.000
Re1 0.500 0.500 0.500
H1 0.000 0.000 0.500
H2 0.000 0.500 0.000
H3 0.500 0.000 0.000

- Fermi-level density of states: 0.470 states/eV/f.u.
- Space group: Pm-3m
- M_tot: 0.00 Bohr magnetons per cell

Arrangement 2

Compound: ZnReH3
Source: Alexandria
Functional: GGA-PBE
Structure: relaxed

a b c (Å): 3.473 3.473 3.473
angles (deg): 90.00 90.00 90.00
Atoms (fractional coordinates):
Zn1 0.000 0.000 0.000
Re1 0.500 0.500 0.500
H1 0.000 0.500 0.500
H2 0.500 0.000 0.500
H3 0.500 0.500 0.000

- Fermi-level density of states: 0.394 states/eV/f.u.
- Space group: Pm-3m
- M_tot: 0.00 Bohr magnetons per cell

We find arrangement 2 to be the most stable, with the next structure 59.4 kJ/mol of atoms higher.